# MnHg2Au (GGA-PBE, relaxed)
# ΔH_f (0 K) = 4.502 kcal/mol of atoms
# relative energy among the computed polymorphs = 0.075 eV per atom
# electronic total energy = -12.27 eV/f.u.
data_MnHg2Au
_space_group_name_H-M_alt 'I -4 m 2'
_space_group_IT_number 119
_space_group_name_Hall 'I -4 -2'
_cell_length_a 4.3920
_cell_length_b 4.3920
_cell_length_c 8.0914
_cell_angle_alpha 90.00
_cell_angle_beta 90.00
_cell_angle_gamma 90.00
loop_
_atom_site_label
_atom_site_type_symbol
_atom_site_fract_x
_atom_site_fract_y
_atom_site_fract_z
_atom_site_occupancy
Mn1 Mn 0.0000 0.0000 0.0000 1
Hg1 Hg 0.0000 0.0000 0.5000 1
Hg2 Hg 0.0000 0.5000 0.2500 1
Au1 Au 0.0000 0.5000 0.7500 1

# MnHgAu (GGA-PBE, relaxed)
# ΔH_f (0 K) = 4.220 kcal/mol of atoms
# relative energy among the computed polymorphs = 0.081 eV per atom
# electronic total energy = -12.20 eV/f.u.
data_MnHgAu
_space_group_name_H-M_alt 'P 3 m 1'
_space_group_IT_number 156
_cell_length_a 3.1902
_cell_length_b 3.1902
_cell_length_c 6.4882
_cell_angle_alpha 90.00
_cell_angle_beta 90.00
_cell_angle_gamma 120.00
loop_
_space_group_symop_operation_xyz
'x,y,z'
'-y,x-y,z'
'-x+y,-x,z'
'-y,-x,z'
'-x+y,y,z'
'x,x-y,z'
loop_
_atom_site_label
_atom_site_type_symbol
_atom_site_fract_x
_atom_site_fract_y
_atom_site_fract_z
_atom_site_occupancy
Mn1 Mn 0.0000 0.0000 0.0000 1
Hg1 Hg 0.3333 0.6667 0.6682 1
Au1 Au 0.6667 0.3333 0.2994 1

# MnHgAu3 (GGA-PBE, relaxed)
# ΔH_f (0 K) = 13.954 kcal/mol of atoms
# relative energy among the computed polymorphs = 0.000 eV per atom
# electronic total energy = -16.28 eV/f.u.
data_MnHgAu3
_space_group_name_H-M_alt 'P m -3 m'
_space_group_IT_number 221
_space_group_name_Hall '-P 4 2 3'
_cell_length_a 4.9888
_cell_length_b 4.9888
_cell_length_c 4.9888
_cell_angle_alpha 90.00
_cell_angle_beta 90.00
_cell_angle_gamma 90.00
loop_
_atom_site_label
_atom_site_type_symbol
_atom_site_fract_x
_atom_site_fract_y
_atom_site_fract_z
_atom_site_occupancy
Mn1 Mn 0.0000 0.0000 0.0000 1
Hg1 Hg 0.5000 0.5000 0.5000 1
Au1 Au 0.0000 0.0000 0.5000 1

# MnHgAu6 (GGA-PBE, relaxed)
# ΔH_f (0 K) = -0.258 kcal/mol of atoms
# electronic total energy = -29.23 eV/f.u.
data_MnHgAu6
_space_group_name_H-M_alt 'C 1 2/m 1'
_space_group_IT_number 12
_cell_length_a 9.4082
_cell_length_b 4.0376
_cell_length_c 8.5087
_cell_angle_alpha 90.00
_cell_angle_beta 115.77
_cell_angle_gamma 90.00
loop_
_space_group_symop_operation_xyz
'x,y,z'
'-x,-y,-z'
'-x,y,-z'
'x,-y,z'
'x+1/2,y+1/2,z'
'-x+1/2,-y+1/2,-z'
'-x+1/2,y+1/2,-z'
'x+1/2,-y+1/2,z'
loop_
_atom_site_label
_atom_site_type_symbol
_atom_site_fract_x
_atom_site_fract_y
_atom_site_fract_z
_atom_site_occupancy
Mn1 Mn 0.0000 0.0000 0.0000 1
Hg1 Hg 0.0000 0.0000 0.5000 1
Au1 Au 0.0007 0.5000 0.7611 1
Au2 Au 0.2439 0.0000 0.3644 1
Au3 Au 0.2437 0.5000 0.1164 1

# Na2MnHgAu (GGA-PBE, relaxed)
# ΔH_f (0 K) = 14.498 kcal/mol of atoms
# electronic total energy = -12.24 eV/f.u.
data_Na2MnHgAu
_space_group_name_H-M_alt 'P 4/m m m'
_space_group_IT_number 123
_space_group_name_Hall '-P 4 2'
_cell_length_a 5.6091
_cell_length_b 5.6091
_cell_length_c 5.1353
_cell_angle_alpha 90.00
_cell_angle_beta 90.00
_cell_angle_gamma 90.00
loop_
_atom_site_label
_atom_site_type_symbol
_atom_site_fract_x
_atom_site_fract_y
_atom_site_fract_z
_atom_site_occupancy
Na1 Na 0.0000 0.5000 0.0000 1
Mn1 Mn 0.0000 0.0000 0.0000 1
Hg1 Hg 0.0000 0.0000 0.5000 1
Au1 Au 0.5000 0.5000 0.5000 1